This record from Alexandria via LeMat-Bulk describes a geometry-optimized Ba7SnN2 structure. The functional is PBE-GGA.

Cell lengths 9.213, 21.486, 4.280 Å; angles 90.00, 90.00, 90.00 degrees
Space group Cmmm (No. 65)
Asymmetric unit:
Ba  0.000  0.000  0.000
Ba  0.000  0.200  0.500
Ba  0.208  0.385  0.000
Sn  0.000  0.500  0.500
N  0.000  0.126  0.000

Values from the calculation:
Crystal system = orthorhombic
Energy relative to the elements, uncorrected = -252.0 meV per atom
Density of states at the Fermi level = 17.43 states/eV/cell


This record from Alexandria via LeMat-Bulk describes a geometry-optimized Ba8SnN2 structure. The functional is PBE-GGA.

Cell lengths 7.344, 7.344, 7.854 Å; angles 90.00, 90.00, 90.00 degrees
Space group P4/mmm (No. 123)
Asymmetric unit:
Ba  0.248  0.248  0.210
Sn  0.500  0.500  0.500
N  0.000  0.500  0.000

Values from the calculation:
Crystal system = tetragonal
Energy relative to the elements, uncorrected = -37.6 meV per atom
Density of states at the Fermi level = 6.75 states/eV/cell


This record from Alexandria via LeMat-Bulk describes a geometry-optimized BaSnN2 structure. The functional is PBE-GGA.

Cell lengths 6.195, 6.195, 8.011 Å; angles 90.00, 90.00, 90.00 degrees
Space group I-42d (No. 122)
Asymmetric unit:
Ba  0.000  0.000  0.000
Sn  0.000  0.000  0.500
N  0.165  0.250  0.625

Values from the calculation:
Crystal system = tetragonal
Energy relative to the elements, uncorrected = -254.4 meV per atom
Density of states at the Fermi level = 0.00 states/eV/cell


This record from Alexandria via LeMat-Bulk describes a geometry-optimized BaSr2SnN structure. The functional is PBE-GGA.

Cell lengths 5.313, 5.313, 5.471 Å; angles 90.00, 90.00, 90.00 degrees
Space group P4/mmm (No. 123)
Asymmetric unit:
Ba  0.000  0.000  0.000
Sr  0.000  0.500  0.500
Sn  0.500  0.500  0.000
N  0.000  0.000  0.500

Values from the calculation:
Crystal system = tetragonal
Energy relative to the elements, uncorrected = -574.2 meV per atom
Density of states at the Fermi level = 6.21 states/eV/cell


This record from Alexandria via LeMat-Bulk describes a geometry-optimized BaTc2SnN structure. The functional is PBE-GGA.

Cell lengths 5.406, 5.406, 4.351 Å; angles 90.00, 90.00, 90.00 degrees
Space group P4/mmm (No. 123)
Asymmetric unit:
Ba  0.000  0.000  0.000
Tc  0.000  0.500  0.000
Sn  0.500  0.500  0.500
N  0.000  0.000  0.500

Values from the calculation:
Crystal system = tetragonal
Energy relative to the elements, uncorrected = 2496.3 meV per atom
Density of states at the Fermi level = 3.41 states/eV/cell


This record from Alexandria via LeMat-Bulk describes a geometry-optimized BaSnTeN2 structure. The functional is PBE-GGA.

Cell lengths 4.596, 4.596, 5.835 Å; angles 90.00, 90.00, 90.00 degrees
Space group P4/mmm (No. 123)
Asymmetric unit:
Ba  0.000  0.000  0.000
Sn  0.500  0.500  0.500
Te  0.500  0.500  0.000
N  0.000  0.500  0.500

Values from the calculation:
Crystal system = tetragonal
Energy relative to the elements, uncorrected = 535.1 meV per atom
Distance to the lowest polymorph of the same formula = 0.00 eV/f.u.
Density of states at the Fermi level = 2.62 states/eV/cell


This record from Alexandria via LeMat-Bulk describes a geometry-optimized BaSnTeN2 structure. The functional is PBE-GGA.

Cell lengths 4.752, 4.752, 7.085 Å; angles 90.00, 90.00, 90.00 degrees
Space group P4/mmm (No. 123)
Asymmetric unit:
Ba  0.000  0.000  0.000
Sn  0.500  0.500  0.500
Te  0.000  0.000  0.500
N  0.000  0.500  0.000

Values from the calculation:
Crystal system = tetragonal
Energy relative to the elements, uncorrected = 1313.0 meV per atom
Distance to the lowest polymorph of the same formula = 3.89 eV/f.u.
Density of states at the Fermi level = 3.61 states/eV/cell


This record from Alexandria via LeMat-Bulk describes a geometry-optimized BaThSnN3 structure. The functional is PBE-GGA.

Cell lengths 7.797, 3.681, 9.060 Å; angles 90.00, 92.63, 90.00 degrees
Space group P2_1/m (No. 11)
Asymmetric unit:
Ba  0.140  0.250  0.193
Th  0.383  0.750  0.855
Sn  0.159  0.250  0.576
N  0.126  0.750  0.443
N  0.172  0.250  0.823
N  0.412  0.750  0.105

Values from the calculation:
Crystal system = monoclinic
Energy relative to the elements, uncorrected = -595.2 meV per atom
Density of states at the Fermi level = 4.96 states/eV/cell